Here is a relaxed structure of Dy3ErGa3 from Alexandria. Energies are from PBE-GGA.

The structure in POSCAR format:
```
Dy3ErGa3
1.0
4.8024 0.0000 0.0000
0.0000 9.0794 0.0000
0.0000 -4.5397 7.8630
Dy Er Ga
6 2 6
Direct
0.2500 0.2402 0.2536 Dy
0.2500 0.0134 0.7598 Dy
0.2500 0.7464 0.9866 Dy
0.7500 0.9866 0.2402 Dy
0.7500 0.7598 0.7464 Dy
0.7500 0.2536 0.0134 Dy
0.2500 0.6667 0.3333 Er
0.7500 0.3333 0.6667 Er
0.7500 0.6083 0.0582 Ga
0.2500 0.3917 0.9418 Ga
0.2500 0.5501 0.6083 Ga
0.7500 0.9418 0.5501 Ga
0.7500 0.4499 0.3917 Ga
0.2500 0.0582 0.4499 Ga
```

Properties
* SG: P6_3/m
* size of the total moment: 0.000 μB per atom
* ΔH_f (0 K): -411 meV per atom

Here is a relaxed structure of KP2SO8 from Alexandria. Energies are from PBE-GGA.

The structure in POSCAR format:
```
KP2SO8
1.0
4.8607 0.0000 0.0000
2.4303 5.7972 -0.3329
2.4303 1.7424 6.3167
O S K P
8 1 1 2
Direct
0.3495 0.3816 0.9194 O
0.8757 0.9503 0.8247 O
0.8320 0.6683 0.6676 O
0.6507 0.0497 0.1753 O
0.6505 0.6184 0.0806 O
0.1243 0.0497 0.1753 O
0.3493 0.9503 0.8247 O
0.1680 0.3317 0.3324 O
0.0000 0.0000 0.0000 S
0.5000 0.5000 0.5000 K
0.3119 0.2409 0.1354 P
0.6881 0.7591 0.8646 P
```

Properties
* SG: C2/m
* size of the total moment: 0.084 μB per atom
* total DFT energy (no corrections): -72.537 eV per cell

Here is a relaxed structure of Th4NiPt3 from Alexandria. Energies are from PBE-GGA.

The structure in POSCAR format:
```
Th4NiPt3
1.0
3.9113 0.0000 0.0000
0.0000 4.4297 0.0000
0.0000 0.0000 11.1933
Th Pt Ni
4 3 1
Direct
0.5000 0.0000 0.6360 Th
0.0000 0.5000 0.8683 Th
0.5000 0.5000 0.3564 Th
0.0000 0.0000 0.1345 Th
0.0000 0.0000 0.4040 Pt
0.0000 0.5000 0.5971 Pt
0.5000 0.0000 0.9115 Pt
0.5000 0.5000 0.0921 Ni
```

Properties
* SG: Pmm2
* size of the total moment: 0.000 μB per atom
* ΔH_f (0 K): -1014 meV per atom

Here is a relaxed structure of Y2HoTm3 from Alexandria. Energies are from PBE-GGA.

The structure in POSCAR format:
```
Y2HoTm3
1.0
-4.8385 -2.5070 -0.9701
3.5428 -4.1125 -7.0423
0.9517 -4.7275 7.4701
Tm Y Ho
6 4 2
Direct
0.9933 0.3682 0.8879 Tm
0.9933 0.8879 0.3682 Tm
0.4926 0.9111 0.9111 Tm
0.9926 0.0889 0.0889 Tm
0.4933 0.1121 0.6318 Tm
0.4933 0.6318 0.1121 Tm
0.9930 0.2893 0.5085 Y
0.9930 0.5085 0.2893 Y
0.4930 0.4915 0.7107 Y
0.4930 0.7107 0.4915 Y
0.4928 0.2687 0.2687 Ho
0.9928 0.7313 0.7313 Ho
```

Properties
* SG: Cmcm
* size of the total moment: 0.000 μB per atom
* ΔH_f (0 K): 361 meV per atom
* offset from the most stable computed form: 332 meV per atom

Here is a relaxed structure of DyCuAgPt from Alexandria. Energies are from PBE-GGA.

The structure in POSCAR format:
```
DyCuAgPt
1.0
4.7187 0.0000 0.0000
2.3594 4.0865 0.0000
2.3594 1.3622 3.8528
Pt Ag Dy Cu
1 1 1 1
Direct
0.7500 0.7500 0.7500 Pt
0.0000 0.0000 0.0000 Ag
0.5000 0.5000 0.5000 Dy
0.2500 0.2500 0.2500 Cu
```

Properties
* SG: F-43m
* size of the total moment: 0.000 μB per atom
* ΔH_f (0 K): -469 meV per atom

Here is a relaxed structure of RbSe3F from Alexandria. Energies are from PBE-GGA.

The structure in POSCAR format:
```
RbSe3F
1.0
4.9136 0.0000 0.0000
0.0000 4.9136 0.0000
0.0000 0.0000 4.9136
F Se Rb
1 3 1
Direct
0.0000 0.0000 0.0000 F
0.0000 0.5000 0.0000 Se
0.0000 0.0000 0.5000 Se
0.5000 0.0000 0.0000 Se
0.5000 0.5000 0.5000 Rb
```

Properties
* SG: Pm-3m
* size of the total moment: 0.000 μB per atom
* offset from the most stable computed form: 0 meV per atom

Here is a relaxed structure of YTa2Ag from Alexandria. Energies are from PBE-GGA.

The structure in POSCAR format:
```
YTa2Ag
1.0
-1.8583 0.5997 -3.5049
-2.7086 -2.8009 0.9568
-8.5031 6.4838 3.3213
Ta Ag Y
4 2 2
Direct
0.8750 0.8770 0.7500 Ta
0.3750 0.3730 0.7500 Ta
0.1230 0.6250 0.2500 Ta
0.6270 0.1250 0.2500 Ta
0.7500 0.2500 0.5000 Ag
0.0000 0.0000 0.0000 Ag
0.5000 0.5000 0.0000 Y
0.2500 0.7500 0.5000 Y
```

Properties
* SG: I-42d
* size of the total moment: 0.000 μB per atom
* ΔH_f (0 K): 649 meV per atom
* offset from the most stable computed form: 467 meV per atom

Here is a relaxed structure of CaTm2Fe from Alexandria. Energies are from PBE-GGA.

The structure in POSCAR format:
```
CaTm2Fe
1.0
3.6082 0.0000 0.0000
1.8041 3.1248 0.0000
1.8041 1.0416 10.3532
Tm Ca Fe
2 1 1
Direct
0.8865 0.8865 0.3406 Tm
0.1135 0.1135 0.6594 Tm
0.0000 0.0000 0.0000 Ca
0.5000 0.5000 0.5000 Fe
```

Properties
* SG: R-3m
* size of the total moment: 0.148 μB per atom
* ΔH_f (0 K): 278 meV per atom
* offset from the most stable computed form: 237 meV per atom